No. 1
{
  "formula": "LiBe2Pb",
  "functional": "PBE",
  "state": "optimized geometry",
  "cell": [[3.397, -1.964, 0.000], [3.397, 1.964, 0.000], [-2.225, 0.000, 4.889]],
  "species": ["Li", "Be", "Be", "Pb"],
  "fractional_positions": [[0.000, 0.000, 0.000], [0.234, 0.234, 0.701], [0.578, 0.578, 0.731], [0.802, 0.802, 0.402]],
  "energy_ev_per_fu": -12.0,
  "crystal_system": "monoclinic",
  "sg": "Cm"
}


No. 2
{
  "formula": "LiBe3Pb",
  "functional": "PBE",
  "state": "optimized geometry",
  "cell": [[4.783, 0.000, 0.000], [0.000, 4.783, 0.000], [0.000, 0.000, 4.783]],
  "species": ["Li", "Be", "Be", "Be", "Pb"],
  "fractional_positions": [[0.000, 0.000, 0.000], [0.000, 0.500, 0.500], [0.500, 0.000, 0.500], [0.500, 0.500, 0.000], [0.500, 0.500, 0.500]],
  "energy_ev_per_fu": -10.4,
  "crystal_system": "cubic",
  "sg": "Pm-3m"
}


No. 3
{
  "formula": "Li3BePb",
  "functional": "PBE",
  "state": "optimized geometry",
  "cell": [[4.575, 0.000, 0.000], [0.000, 4.575, 0.000], [0.000, 0.000, 4.575]],
  "species": ["Li", "Li", "Li", "Be", "Pb"],
  "fractional_positions": [[0.000, 0.000, 0.500], [0.000, 0.500, 0.000], [0.500, 0.000, 0.000], [0.000, 0.000, 0.000], [0.500, 0.500, 0.500]],
  "energy_ev_per_fu": -11.8,
  "crystal_system": "cubic",
  "sg": "Pm-3m"
}


No. 4
{
  "formula": "LiBePb2",
  "functional": "PBE",
  "state": "optimized geometry",
  "cell": [[3.385, -3.431, 0.000], [3.385, 3.431, 0.000], [0.000, 0.000, 3.722]],
  "species": ["Li", "Be", "Pb", "Pb"],
  "fractional_positions": [[0.000, 0.000, 0.000], [0.500, 0.500, 0.000], [0.000, 0.500, 0.500], [0.500, 0.000, 0.500]],
  "energy_ev_per_fu": -12.1,
  "crystal_system": "orthorhombic",
  "sg": "Cmmm"
}


No. 5
{
  "formula": "LiBePb",
  "functional": "PBE",
  "state": "optimized geometry",
  "cell": [[3.308, 0.000, 0.000], [-1.654, 2.865, 0.000], [0.000, 0.000, 6.491]],
  "species": ["Li", "Be", "Pb"],
  "fractional_positions": [[0.000, 0.000, 0.000], [0.333, 0.667, 0.700], [0.667, 0.333, 0.389]],
  "energy_ev_per_fu": -7.9,
  "crystal_system": "trigonal",
  "sg": "P3m1"
}


No. 6
{
  "formula": "LiBePb",
  "functional": "PBE",
  "state": "optimized geometry",
  "cell": [[1.976, 1.141, 8.445], [-1.976, 1.141, 8.445], [0.000, -2.282, 8.445]],
  "species": ["Li", "Li", "Be", "Be", "Pb", "Pb"],
  "fractional_positions": [[0.000, 0.000, 0.000], [0.479, 0.479, 0.479], [0.293, 0.293, 0.293], [0.622, 0.622, 0.622], [0.729, 0.729, 0.729], [0.895, 0.895, 0.895]],
  "energy_ev_per_fu": -9.0,
  "crystal_system": "trigonal",
  "sg": "R3m"
}


No. 7
{
  "formula": "Li2Be2Pb",
  "functional": "PBE",
  "state": "optimized geometry",
  "cell": [[6.482, 0.000, 0.000], [0.000, 6.482, 0.000], [0.000, 0.000, 3.742]],
  "species": ["Li", "Li", "Li", "Li", "Be", "Be", "Be", "Be", "Pb", "Pb"],
  "fractional_positions": [[0.164, 0.336, 0.000], [0.336, 0.836, 0.000], [0.664, 0.164, 0.000], [0.836, 0.664, 0.000], [0.116, 0.616, 0.500], [0.384, 0.116, 0.500], [0.616, 0.884, 0.500], [0.884, 0.384, 0.500], [0.000, 0.000, 0.500], [0.500, 0.500, 0.500]],
  "energy_ev_per_fu": -13.9,
  "crystal_system": "tetragonal",
  "sg": "P4/mbm"
}


No. 8
{
  "formula": "LiBe2Pb",
  "functional": "PBE",
  "state": "optimized geometry",
  "cell": [[3.829, 0.000, 0.000], [0.000, 3.800, 0.000], [-1.785, 0.000, 4.473]],
  "species": ["Li", "Be", "Be", "Pb"],
  "fractional_positions": [[0.000, 0.000, 0.000], [0.571, 0.500, 0.164], [0.679, 0.000, 0.380], [0.264, 0.500, 0.574]],
  "energy_ev_per_fu": -11.7,
  "crystal_system": "monoclinic",
  "sg": "Pm"
}


No. 9
{
  "formula": "LiBePb2",
  "functional": "PBE",
  "state": "optimized geometry",
  "cell": [[-1.733, 2.049, 6.361], [1.733, -2.049, 6.361], [1.733, 2.049, -6.361]],
  "species": ["Li", "Be", "Pb", "Pb"],
  "fractional_positions": [[0.000, 0.000, 0.000], [0.790, 0.290, 0.500], [0.334, 0.834, 0.500], [0.620, 0.620, 0.000]],
  "energy_ev_per_fu": -12.1,
  "crystal_system": "orthorhombic",
  "sg": "Imm2"
}


No. 10
{
  "formula": "LiBe2Pb",
  "functional": "PBE",
  "state": "optimized geometry",
  "cell": [[2.137, -2.236, 0.000], [2.137, 2.236, 0.000], [0.000, 0.000, 6.751]],
  "species": ["Li", "Be", "Be", "Pb"],
  "fractional_positions": [[0.000, 0.000, 0.000], [0.000, 0.000, 0.358], [0.500, 0.500, 0.256], [0.500, 0.500, 0.670]],
  "energy_ev_per_fu": -11.6,
  "crystal_system": "orthorhombic",
  "sg": "Cmm2"
}


No. 11
{
  "formula": "LiBe2Pb",
  "functional": "PBE",
  "state": "optimized geometry",
  "cell": [[2.664, -4.670, 0.000], [2.664, 4.670, 0.000], [-1.484, 0.000, 2.596]],
  "species": ["Li", "Be", "Be", "Pb"],
  "fractional_positions": [[0.000, 0.000, 0.000], [0.000, 0.500, 0.000], [0.500, 0.000, 0.000], [0.500, 0.500, 0.000]],
  "energy_ev_per_fu": -10.8,
  "crystal_system": "monoclinic",
  "sg": "C2/m"
}


No. 12
{
  "formula": "LiBe2Pb",
  "functional": "PBE",
  "state": "optimized geometry",
  "cell": [[-1.972, 1.972, 3.902], [1.972, -1.972, 3.902], [1.972, 1.972, -3.902]],
  "species": ["Li", "Be", "Be", "Pb"],
  "fractional_positions": [[0.000, 0.000, 0.000], [0.250, 0.750, 0.500], [0.750, 0.250, 0.500], [0.500, 0.500, 0.000]],
  "energy_ev_per_fu": -11.3,
  "crystal_system": "tetragonal",
  "sg": "I4/mmm"
}


No. 13
{
  "formula": "LiBePb",
  "functional": "PBE",
  "state": "optimized geometry",
  "cell": [[3.938, 0.000, 0.000], [-1.969, 3.410, 0.000], [0.000, 0.000, 8.439]],
  "species": ["Li", "Li", "Be", "Be", "Pb", "Pb"],
  "fractional_positions": [[0.000, 0.000, 0.000], [0.333, 0.667, 0.434], [0.000, 0.000, 0.563], [0.667, 0.333, 0.563], [0.333, 0.667, 0.752], [0.667, 0.333, 0.244]],
  "energy_ev_per_fu": -9.0,
  "crystal_system": "trigonal",
  "sg": "P3m1"
}


No. 14
{
  "formula": "LiBe2Pb",
  "functional": "PBE",
  "state": "optimized geometry",
  "cell": [[1.526, 0.881, 8.889], [-1.526, 0.881, 8.889], [0.000, -1.762, 8.889]],
  "species": ["Li", "Be", "Be", "Pb"],
  "fractional_positions": [[0.000, 0.000, 0.000], [0.259, 0.259, 0.259], [0.741, 0.741, 0.741], [0.500, 0.500, 0.500]],
  "energy_ev_per_fu": -9.8,
  "crystal_system": "trigonal",
  "sg": "R-3m"
}


No. 15
{
  "formula": "LiBePb2",
  "functional": "PBE",
  "state": "optimized geometry",
  "cell": [[-2.329, 2.329, 8.698], [2.329, -2.329, 8.698], [2.329, 2.329, -8.698]],
  "species": ["Li", "Li", "Be", "Be", "Pb", "Pb", "Pb", "Pb"],
  "fractional_positions": [[0.000, 0.000, 0.000], [0.750, 0.250, 0.500], [0.250, 0.750, 0.500], [0.500, 0.500, 0.000], [0.141, 0.625, 0.016], [0.375, 0.391, 0.516], [0.609, 0.125, 0.984], [0.875, 0.859, 0.484]],
  "energy_ev_per_fu": -11.7,
  "crystal_system": "tetragonal",
  "sg": "I-42d"
}


No. 16
{
  "formula": "LiBePb",
  "functional": "PBE",
  "state": "optimized geometry",
  "cell": [[1.978, 1.142, 8.307], [-1.978, 1.142, 8.307], [0.000, -2.284, 8.307]],
  "species": ["Li", "Li", "Be", "Be", "Pb", "Pb"],
  "fractional_positions": [[0.000, 0.000, 0.000], [0.143, 0.143, 0.143], [0.518, 0.518, 0.518], [0.855, 0.855, 0.855], [0.251, 0.251, 0.251], [0.748, 0.748, 0.748]],
  "energy_ev_per_fu": -9.0,
  "crystal_system": "trigonal",
  "sg": "R3m"
}


No. 17
{
  "formula": "LiBePb2",
  "functional": "PBE",
  "state": "optimized geometry",
  "cell": [[-2.209, 2.798, 3.559], [2.209, -2.798, 3.559], [2.209, 2.798, -3.559]],
  "species": ["Li", "Be", "Pb", "Pb"],
  "fractional_positions": [[0.000, 0.000, 0.000], [0.500, 0.500, 0.000], [0.266, 0.766, 0.500], [0.734, 0.234, 0.500]],
  "energy_ev_per_fu": -12.1,
  "crystal_system": "orthorhombic",
  "sg": "Immm"
}


No. 18
{
  "formula": "LiBePb",
  "functional": "PBE",
  "state": "optimized geometry",
  "cell": [[-1.843, 1.843, 3.969], [1.843, -1.843, 3.969], [1.843, 1.843, -3.969]],
  "species": ["Li", "Be", "Pb"],
  "fractional_positions": [[0.000, 0.000, 0.000], [0.672, 0.672, 0.000], [0.332, 0.332, 0.000]],
  "energy_ev_per_fu": -8.5,
  "crystal_system": "tetragonal",
  "sg": "I4mm"
}


No. 19
{
  "formula": "LiBePb",
  "functional": "PBE",
  "state": "optimized geometry",
  "cell": [[4.361, 0.000, 0.000], [-2.180, 3.776, 0.000], [0.000, 0.000, 3.458]],
  "species": ["Li", "Be", "Pb"],
  "fractional_positions": [[0.000, 0.000, 0.000], [0.667, 0.333, 0.500], [0.333, 0.667, 0.500]],
  "energy_ev_per_fu": -8.8,
  "crystal_system": "hexagonal",
  "sg": "P-6m2"
}


No. 20
{
  "formula": "LiBe2Pb",
  "functional": "PBE",
  "state": "optimized geometry",
  "cell": [[-1.893, 2.031, 3.964], [1.893, -2.031, 3.964], [1.893, 2.031, -3.964]],
  "species": ["Li", "Be", "Be", "Pb"],
  "fractional_positions": [[0.000, 0.000, 0.000], [0.538, 0.538, 0.000], [0.723, 0.223, 0.500], [0.265, 0.765, 0.500]],
  "energy_ev_per_fu": -11.4,
  "crystal_system": "orthorhombic",
  "sg": "Imm2"
}


No. 21
{
  "formula": "LiBePb",
  "functional": "PBE",
  "state": "optimized geometry",
  "cell": [[3.881, 0.000, 0.000], [-0.073, 4.473, 0.000], [-0.550, -0.878, 6.511]],
  "species": ["Li", "Li", "Be", "Be", "Pb", "Pb"],
  "fractional_positions": [[0.199, 0.283, 0.179], [0.801, 0.717, 0.821], [0.256, 0.632, 0.520], [0.744, 0.368, 0.480], [0.282, 0.192, 0.727], [0.718, 0.808, 0.273]],
  "energy_ev_per_fu": -9.1,
  "crystal_system": "triclinic",
  "sg": "P-1"
}


No. 22
{
  "formula": "LiBePb2",
  "functional": "PBE",
  "state": "optimized geometry",
  "cell": [[1.797, 1.037, 8.180], [-1.797, 1.037, 8.180], [0.000, -2.075, 8.180]],
  "species": ["Li", "Be", "Pb", "Pb"],
  "fractional_positions": [[0.000, 0.000, 0.000], [0.500, 0.500, 0.500], [0.237, 0.237, 0.237], [0.763, 0.763, 0.763]],
  "energy_ev_per_fu": -12.2,
  "crystal_system": "trigonal",
  "sg": "R-3m"
}


No. 23
{
  "formula": "LiBePb2",
  "functional": "PBE",
  "state": "optimized geometry",
  "cell": [[3.346, 0.000, 0.000], [0.000, 3.346, 0.000], [0.000, 0.000, 7.781]],
  "species": ["Li", "Be", "Pb", "Pb"],
  "fractional_positions": [[0.000, 0.000, 0.000], [0.500, 0.500, 0.849], [0.000, 0.000, 0.621], [0.500, 0.500, 0.235]],
  "energy_ev_per_fu": -12.1,
  "crystal_system": "tetragonal",
  "sg": "P4mm"
}


No. 24
{
  "formula": "LiBePb",
  "functional": "PBE",
  "state": "optimized geometry",
  "cell": [[4.727, 0.000, 0.000], [0.000, 3.863, 0.000], [-1.978, 0.000, 6.496]],
  "species": ["Li", "Li", "Be", "Be", "Pb", "Pb"],
  "fractional_positions": [[0.000, 0.000, 0.000], [0.454, 0.000, 0.498], [0.104, 0.500, 0.294], [0.920, 0.000, 0.350], [0.542, 0.500, 0.130], [0.984, 0.500, 0.639]],
  "energy_ev_per_fu": -9.0,
  "crystal_system": "monoclinic",
  "sg": "Pm"
}


No. 25
{
  "formula": "LiBePt2Pb",
  "functional": "PBE",
  "state": "optimized geometry",
  "cell": [[4.370, 0.000, 0.000], [0.000, 4.370, 0.000], [0.000, 0.000, 4.601]],
  "species": ["Li", "Be", "Pt", "Pt", "Pb"],
  "fractional_positions": [[0.000, 0.000, 0.000], [0.500, 0.500, 0.500], [0.000, 0.500, 0.000], [0.500, 0.000, 0.000], [0.000, 0.000, 0.500]],
  "energy_ev_per_fu": -18.2,
  "crystal_system": "tetragonal",
  "sg": "P4/mmm"
}


No. 26
{
  "formula": "Li2BePtPb",
  "functional": "PBE",
  "state": "optimized geometry",
  "cell": [[4.425, 0.000, 0.000], [0.000, 4.425, 0.000], [0.000, 0.000, 4.472]],
  "species": ["Li", "Li", "Be", "Pt", "Pb"],
  "fractional_positions": [[0.000, 0.500, 0.000], [0.500, 0.000, 0.000], [0.000, 0.000, 0.000], [0.500, 0.500, 0.500], [0.000, 0.000, 0.500]],
  "energy_ev_per_fu": -15.5,
  "crystal_system": "tetragonal",
  "sg": "P4/mmm"
}


No. 27
{
  "formula": "LiBePt2Pb",
  "functional": "PBE",
  "state": "optimized geometry",
  "cell": [[4.332, 0.000, 0.000], [0.000, 4.332, 0.000], [0.000, 0.000, 4.513]],
  "species": ["Li", "Be", "Pt", "Pt", "Pb"],
  "fractional_positions": [[0.000, 0.000, 0.000], [0.000, 0.000, 0.500], [0.000, 0.500, 0.500], [0.500, 0.000, 0.500], [0.500, 0.500, 0.000]],
  "energy_ev_per_fu": -22.5,
  "crystal_system": "tetragonal",
  "sg": "P4/mmm"
}


No. 28
{
  "formula": "Li2BeSnPb",
  "functional": "PBE",
  "state": "optimized geometry",
  "cell": [[5.177, 0.000, 0.000], [0.000, 5.177, 0.000], [0.000, 0.000, 5.808]],
  "species": ["Li", "Li", "Be", "Sn", "Pb"],
  "fractional_positions": [[0.000, 0.500, 0.000], [0.500, 0.000, 0.000], [0.000, 0.000, 0.500], [0.500, 0.500, 0.500], [0.500, 0.500, 0.000]],
  "energy_ev_per_fu": -11.5,
  "crystal_system": "tetragonal",
  "sg": "P4/mmm"
}


Number 1: energy relative to the elements 0.28 eV per atom, N(E_F) 1.00 states/eV/cell. Number 2: energy relative to the elements 1.28 eV per atom, N(E_F) 4.47 states/eV/cell. Number 3: energy relative to the elements 0.28 eV per atom, N(E_F) 1.93 states/eV/cell. Number 4: energy relative to the elements 0.25 eV per atom, N(E_F) 1.19 states/eV/cell. Number 5: energy relative to the elements 0.47 eV per atom, N(E_F) 1.73 states/eV/cell. Number 6: energy relative to the elements 0.12 eV per atom, N(E_F) 2.51 states/eV/cell. Number 7: energy relative to the elements 0.22 eV per atom, N(E_F) 3.24 states/eV/cell. Number 8: energy relative to the elements 0.35 eV per atom, N(E_F) 1.63 states/eV/cell. Number 9: energy relative to the elements 0.25 eV per atom, N(E_F) 1.81 states/eV/cell. Number 10: energy relative to the elements 0.36 eV per atom, N(E_F) 1.03 states/eV/cell. Number 11: energy relative to the elements 0.57 eV per atom, N(E_F) 1.20 states/eV/cell. Number 12: energy relative to the elements 0.45 eV per atom, N(E_F) 1.10 states/eV/cell. Number 13: energy relative to the elements 0.11 eV per atom, N(E_F) 3.06 states/eV/cell. Number 14: energy relative to the elements 0.83 eV per atom, N(E_F) 2.76 states/eV/cell. Number 15: energy relative to the elements 0.34 eV per atom, N(E_F) 3.80 states/eV/cell. Number 16: energy relative to the elements 0.10 eV per atom, N(E_F) 2.83 states/eV/cell. Number 17: energy relative to the elements 0.23 eV per atom, N(E_F) 1.28 states/eV/cell. Number 18: energy relative to the elements 0.28 eV per atom, N(E_F) 1.05 states/eV/cell. Number 19: energy relative to the elements 0.18 eV per atom, N(E_F) 1.12 states/eV/cell. Number 20: energy relative to the elements 0.42 eV per atom, N(E_F) 0.98 states/eV/cell. Number 21: energy relative to the elements 0.09 eV per atom, N(E_F) 1.49 states/eV/cell. Number 22: energy relative to the elements 0.22 eV per atom, N(E_F) 1.14 states/eV/cell. Number 23: energy relative to the elements 0.23 eV per atom, N(E_F) 1.02 states/eV/cell. Number 24: energy relative to the elements 0.12 eV per atom, N(E_F) 2.11 states/eV/cell. Number 25: energy relative to the elements 0.64 eV per atom, N(E_F) 2.45 states/eV/cell. Number 26: energy relative to the elements 0.36 eV per atom, N(E_F) 1.86 states/eV/cell. Number 27: energy relative to the elements -0.22 eV per atom, N(E_F) 2.28 states/eV/cell. Number 28: energy relative to the elements 0.75 eV per atom, N(E_F) 1.33 states/eV/cell.